Below is Li3AlHg2 after structural relaxation, with properties calculated at the PBE-GGA level.

Values from the calculation:
magnetization	0.00	μB per formula unit
V	19.40	A^3/atom
total energy	-45.1	eV/cell

```
data_Li3AlHg2
_cell_length_a 5.7296
_cell_length_b 14.3179
_cell_length_c 5.6761
_cell_angle_alpha 90.00
_cell_angle_beta 90.00
_cell_angle_gamma 90.00
_space_group_name_H-M_alt 'I b a m'
_space_group_IT_number 72
_space_group_name_Hall '-I 2 2c'
loop_
_atom_site_label
_atom_site_type_symbol
_atom_site_fract_x
_atom_site_fract_y
_atom_site_fract_z
Li1 Li 0.0000 0.0000 0.2500
Li2 Li 0.2428 0.3318 0.0000
Al1 Al 0.0000 0.5000 0.2500
Hg1 Hg 0.2374 0.1379 0.0000
```